Here is an optimized crystal structure of Cr2RuCl from the Alexandria database. Energies are from GGA-PBE.

It has space group Pmmm (No. 47), with a = 2.971 Å, b = 3.682 Å, c = 5.707 Å, α = 90.00°, β = 90.00° and γ = 90.00°. The asymmetric unit holds Cr at (0.000, 0.000, 0.174), Ru at (0.500, 0.500, 0.000) and Cl at (0.500, 0.500, 0.500).

As for the volume: 62 Å³/cell. For the formation energy without anion corrections, the calculation gives 0.56 eV/atom. Its excess energy over the best structure of this formula in the dataset is 359 meV per atom. The total magnetization comes out at 0.0 μB/f.u.